No. 1
! LuScTlGa, optimized geometry, DFT PBE; values from VASP
! - energy of formation (eV/atom) = -0.37
&SYSTEM
  ibrav = 0, nat = 4, ntyp = 4
/
ATOMIC_SPECIES
Lu 174.97 Lu.upf
Sc 44.96 Sc.upf
Tl 204.38 Tl.upf
Ga 69.72 Ga.upf
CELL_PARAMETERS angstrom
0.0000 3.5639 3.5639
3.5639 0.0000 3.5639
3.5639 3.5639 0.0000
ATOMIC_POSITIONS angstrom
Lu 0.0000 0.0000 0.0000
Sc 3.5639 3.5639 3.5639
Tl 1.7819 1.7819 1.7819
Ga 5.3458 5.3458 5.3458

---

No. 2
! NbAlFeRe, optimized geometry, DFT PBE; values from VASP
! - energy of formation (eV/atom) = -0.21
&SYSTEM
  ibrav = 0, nat = 4, ntyp = 4
/
ATOMIC_SPECIES
Nb 92.91 Nb.upf
Al 26.98 Al.upf
Fe 55.84 Fe.upf
Re 186.21 Re.upf
CELL_PARAMETERS angstrom
0.0000 3.0762 3.0762
3.0762 0.0000 3.0762
3.0762 3.0762 0.0000
ATOMIC_POSITIONS angstrom
Nb 0.0000 0.0000 0.0000
Al 3.0762 3.0762 3.0762
Fe 4.6143 4.6143 4.6143
Re 1.5381 1.5381 1.5381

---

No. 3
! YAg22, optimized geometry, DFT PBE; values from VASP
! - energy of formation (eV/atom) = 0.06
&SYSTEM
  ibrav = 0, nat = 46, ntyp = 2
/
ATOMIC_SPECIES
Y 88.91 Y.upf
Ag 107.87 Ag.upf
CELL_PARAMETERS angstrom
0.0000 7.6033 7.6033
7.6033 0.0000 7.6033
7.6033 7.6033 0.0000
ATOMIC_POSITIONS angstrom
Y 1.9008 1.9008 1.9008
Y 13.3059 13.3059 13.3059
Ag 0.0000 0.0000 0.0000
Ag 3.8017 3.8017 0.0000
Ag 3.8017 0.0000 3.8017
Ag 7.6033 3.8017 3.8017
Ag 4.8966 2.8913 2.8913
Ag 8.5137 6.5084 2.8913
Ag 8.5137 2.8913 6.5084
Ag 10.3100 6.6930 6.6930
Ag 12.3154 8.6983 6.6930
Ag 12.3154 6.6930 8.6983
Ag 5.7025 5.7025 3.6098
Ag 5.7025 3.6098 5.7025
Ag 7.7952 5.7025 5.7025
Ag 2.8913 4.8966 2.8913
Ag 6.5084 8.5137 2.8913
Ag 2.8913 2.8913 4.8966
Ag 8.5137 8.5137 4.8966
Ag 6.5084 2.8913 8.5137
Ag 8.5137 4.8966 8.5137
Ag 9.5042 9.5042 7.4115
Ag 9.5042 7.4115 9.5042
Ag 11.5969 9.5042 9.5042
Ag 0.0000 3.8017 3.8017
Ag 3.8017 7.6033 3.8017
Ag 3.8017 3.8017 7.6033
Ag 7.6033 7.6033 7.6033
Ag 3.6098 5.7025 5.7025
Ag 5.7025 7.7952 5.7025
Ag 5.7025 5.7025 7.7952
Ag 6.6930 10.3100 6.6930
Ag 8.6983 12.3154 6.6930
Ag 6.6930 6.6930 10.3100
Ag 12.3154 12.3154 10.3100
Ag 8.6983 6.6930 12.3154
Ag 12.3154 10.3100 12.3154
Ag 7.4115 9.5042 9.5042
Ag 9.5042 11.5969 9.5042
Ag 9.5042 9.5042 11.5969
Ag 2.8913 8.5137 6.5084
Ag 2.8913 6.5084 8.5137
Ag 4.8966 8.5137 8.5137
Ag 6.6930 12.3154 8.6983
Ag 6.6930 8.6983 12.3154
Ag 10.3100 12.3154 12.3154

---

No. 4
! Ga3BN, optimized geometry, DFT PBE; values from VASP
! - excess energy over the best structure of this formula in the dataset (eV/atom) = 0.000
! - formation energy from raw total energies (eV per atom) = 0.98
&SYSTEM
  ibrav = 0, nat = 5, ntyp = 3
/
ATOMIC_SPECIES
Ga 69.72 Ga.upf
B 10.81 B.upf
N 14.01 N.upf
CELL_PARAMETERS angstrom
4.1536 0.0000 0.0000
0.0000 4.1536 0.0000
0.0000 0.0000 4.1536
ATOMIC_POSITIONS angstrom
Ga 0.0000 0.0000 2.0768
Ga 0.0000 2.0768 0.0000
Ga 2.0768 0.0000 0.0000
B 0.0000 0.0000 0.0000
N 2.0768 2.0768 2.0768

---

No. 5
! Tb2CeHoS4, optimized geometry, DFT PBE; values from VASP
! - formation energy from raw total energies (eV per atom) = -2.01
&SYSTEM
  ibrav = 0, nat = 8, ntyp = 4
/
ATOMIC_SPECIES
Tb 158.93 Tb.upf
Ce 140.12 Ce.upf
Ho 164.93 Ho.upf
S 32.06 S.upf
CELL_PARAMETERS angstrom
6.8232 0.0000 0.0000
0.0000 3.9231 0.0000
-2.2608 0.0000 6.4618
ATOMIC_POSITIONS angstrom
Tb 0.0000 0.0000 0.0000
Tb -1.1304 1.9616 3.2309
Ce 2.2812 0.0000 3.2309
Ho 3.4116 1.9616 0.0000
S 1.1265 1.9616 1.5683
S -0.0022 0.0000 4.8825
S 4.5646 0.0000 1.5792
S 3.4359 1.9616 4.8935

---

No. 6
! SrZn2GeAu2, optimized geometry, DFT PBE; values from VASP
! - energy of formation (eV/atom) = -0.18
&SYSTEM
  ibrav = 0, nat = 6, ntyp = 4
/
ATOMIC_SPECIES
Sr 87.62 Sr.upf
Zn 65.41 Zn.upf
Ge 72.64 Ge.upf
Au 196.97 Au.upf
CELL_PARAMETERS angstrom
4.7812 0.0000 0.0000
0.0000 4.7812 0.0000
0.0000 0.0000 6.0388
ATOMIC_POSITIONS angstrom
Sr 0.0000 0.0000 0.0000
Zn 0.0000 2.3906 3.0194
Zn 2.3906 0.0000 3.0194
Ge 0.0000 0.0000 3.0194
Au 2.3906 2.3906 1.4199
Au 2.3906 2.3906 4.6189

---

No. 7
! Pr4AgI5, optimized geometry, DFT PBE; values from VASP
! - formation energy from raw total energies (eV per atom) = -1.02
&SYSTEM
  ibrav = 0, nat = 10, ntyp = 3
/
ATOMIC_SPECIES
Pr 140.91 Pr.upf
Ag 107.87 Ag.upf
I 126.90 I.upf
CELL_PARAMETERS angstrom
9.7919 -2.1432 0.0000
9.7919 2.1432 0.0000
-1.8835 0.0000 9.1614
ATOMIC_POSITIONS angstrom
Pr -0.3833 0.0000 2.0377
Pr 4.9272 0.0000 8.5053
Pr 12.7730 0.0000 0.6561
Pr 18.0835 0.0000 7.1237
Ag 9.7919 0.0000 0.0000
I 2.6711 0.0000 3.0706
I 1.8065 0.0000 7.4445
I 8.8501 0.0000 4.5807
I 15.8937 0.0000 1.7170
I 15.0292 0.0000 6.0908

---

No. 8
! LaPrNd4Se8, optimized geometry, DFT PBE; values from VASP
! - formation energy from raw total energies (eV per atom) = -1.75
&SYSTEM
  ibrav = 0, nat = 14, ntyp = 4
/
ATOMIC_SPECIES
La 138.91 La.upf
Pr 140.91 Pr.upf
Nd 144.24 Nd.upf
Se 78.96 Se.upf
CELL_PARAMETERS angstrom
4.3704 2.5233 7.1550
-4.3704 2.5233 7.1550
0.0000 -5.0465 7.1550
ATOMIC_POSITIONS angstrom
La 0.0000 0.0000 0.0000
Pr 0.0000 0.0000 13.4162
Nd -2.1724 -1.2542 9.8550
Nd 0.0000 0.0000 5.3833
Nd 2.1724 -1.2542 9.8550
Nd 0.0000 2.5084 9.8550
Se 0.0000 -2.3871 11.5749
Se -2.0673 1.1935 11.5749
Se 0.0000 0.0000 8.2192
Se -2.0320 -1.1732 15.2979
Se 2.0673 1.1935 11.5749
Se 0.0000 0.0000 18.5850
Se 2.0320 -1.1732 15.2979
Se 0.0000 2.3463 15.2979

---

No. 9
! RbScPb, optimized geometry, DFT PBE; values from VASP
! - energy of formation (eV/atom) = -0.03
! - excess energy over the best structure of this formula in the dataset (eV/atom) = 0.208
&SYSTEM
  ibrav = 0, nat = 6, ntyp = 3
/
ATOMIC_SPECIES
Rb 85.47 Rb.upf
Sc 44.96 Sc.upf
Pb 207.20 Pb.upf
CELL_PARAMETERS angstrom
6.5117 -1.8423 0.0000
6.5117 1.8423 0.0000
-0.1861 0.0000 9.1788
ATOMIC_POSITIONS angstrom
Rb 0.0000 0.0000 0.0000
Rb 3.1094 0.0000 6.8962
Sc 8.1122 0.0000 3.2309
Sc 11.8471 0.0000 3.7023
Pb 3.6478 0.0000 1.9034
Pb 6.6169 0.0000 5.8026

---

No. 10
! AcCu2Br8, optimized geometry, DFT PBE; values from VASP
! - formation energy from raw total energies (eV per atom) = -0.80
&SYSTEM
  ibrav = 0, nat = 11, ntyp = 3
/
ATOMIC_SPECIES
Ac 227.00 Ac.upf
Cu 63.55 Cu.upf
Br 79.90 Br.upf
CELL_PARAMETERS angstrom
-3.6866 3.6866 6.3486
3.6866 -3.6866 6.3486
3.6866 3.6866 -6.3486
ATOMIC_POSITIONS angstrom
Ac 0.0000 0.0000 0.0000
Cu 3.6866 0.0000 3.1743
Cu 0.0000 3.6866 3.1743
Br 4.9002 1.2660 -1.5150
Br 1.2660 2.4730 -1.5150
Br 2.4730 1.2660 1.5150
Br 2.4206 -1.2136 7.8636
Br 2.4206 1.2136 4.8336
Br -1.2136 2.4206 4.8336
Br 1.2660 4.9002 1.5150
Br 1.2136 2.4206 7.8636

---

Number 1: volume 22.633 Å³/atom. Number 2: volume 14.555 Å³/atom. Number 3: volume 19.111 Å³/atom. Number 4: volume 14.332 Å³/atom. Number 5: volume 21.621 Å³/atom. Number 6: volume 23.008 Å³/atom. Number 7: volume 38.452 Å³/atom. Number 8: volume 33.815 Å³/atom. Number 9: volume 36.705 Å³/atom. Number 10: volume 31.376 Å³/atom.